Model P:
16
Lattice="7.769 0.410 -2.053 -3.672 6.823 -2.042 -0.049 -0.065 10.320" Properties=species:S:1:pos:R:3 comment="La2SnTe | the Alexandria database | PBE | relaxed" sg="No. 15" crystal_system=monoclinic magnetic_moment_mub_per_fu=0.00 pbc="T T T"
La -0.228 3.006 2.616
La 3.245 2.337 -0.505
La -2.535 5.577 -0.500
La 2.109 0.485 5.711
La 1.938 6.683 0.514
La 6.582 1.591 6.724
La 0.802 4.831 6.730
La 4.275 4.162 3.609
Sn -2.021 6.432 6.766
Sn 4.731 5.035 0.505
Sn -0.684 2.133 5.720
Sn 6.068 0.736 -0.541
Te 1.348 5.721 3.606
Te 3.684 3.198 6.696
Te 0.363 3.970 -0.471
Te 2.699 1.447 2.618


Model Q:
4
Lattice="-1.527 -2.779 -3.378 3.014 -1.991 -2.902 1.040 -7.537 2.552" Properties=species:S:1:pos:R:3 comment="La2SnTe | the Alexandria database | PBE | relaxed" sg="No. 166" crystal_system=trigonal magnetic_moment_mub_per_fu=0.00 pbc="T T T"
Te 1.263 -6.153 -1.864
Sn 0.000 0.000 0.000
La 0.626 -3.021 -0.975
La 1.900 -9.285 -2.752


Going by the computed energies, the most stable comes first: model P, model Q.


Model P:
4
Lattice="-0.764 3.114 -2.050 -3.727 -0.684 0.349 -0.185 4.624 7.095" Properties=species:S:1:pos:R:3 comment="La2SnTe | the Alexandria database | PBE | relaxed" sg="No. 123" crystal_system=tetragonal magnetic_moment_mub_per_fu=0.22 pbc="T T T"
Te -2.245 1.215 -0.850
Sn -2.338 3.527 2.697
La -0.140 3.503 5.374
La -0.045 1.122 1.721


Model Q:
4
Lattice="4.563 0.000 0.000 2.282 3.952 0.000 2.282 1.317 7.943" Properties=species:S:1:pos:R:3 comment="La2SnTe | the Alexandria database | PBE | relaxed" sg="No. 160" crystal_system=trigonal magnetic_moment_mub_per_fu=0.00 pbc="T T T"
La 2.282 1.317 6.088
La 2.282 1.317 1.836
Sn 6.845 3.952 7.922
Te 4.563 2.635 4.010


Going by the computed energies, the most stable comes first: model Q, model P.


Model P:
5
Lattice="4.213 0.000 0.000 0.000 4.213 0.000 2.106 2.106 9.091" Properties=species:S:1:pos:R:3 comment="LaSn2Te2 | the Alexandria database | PBE | relaxed" sg="No. 139" crystal_system=tetragonal magnetic_moment_mub_per_fu=0.00 pbc="T T T"
Te 2.106 2.106 1.693
Te 4.213 4.213 7.398
Sn 4.213 2.106 4.546
Sn 2.106 4.213 4.546
La 0.000 0.000 0.000


Model Q:
10
Lattice="8.566 0.000 0.000 0.000 8.566 0.000 0.000 0.000 4.451" Properties=species:S:1:pos:R:3 comment="LaSn2Te2 | the Alexandria database | PBE | relaxed" sg="No. 127" crystal_system=tetragonal magnetic_moment_mub_per_fu=0.00 pbc="T T T"
Te 2.961 7.244 0.000
Te 7.244 5.605 0.000
Te 5.605 1.322 0.000
Te 1.322 2.961 0.000
Sn 1.529 5.812 2.225
Sn 5.812 7.038 2.225
Sn 7.038 2.754 2.225
Sn 2.754 1.529 2.225
La 0.000 0.000 0.000
La 4.283 4.283 0.000


Going by the computed energies, the most stable comes first: model P, model Q.


Model P:
10
Lattice="8.455 0.000 0.000 0.000 8.455 0.000 0.000 0.000 4.345" Properties=species:S:1:pos:R:3 comment="LaSn2Te2 | the Alexandria database | PBE | relaxed" sg="No. 127" crystal_system=tetragonal magnetic_moment_mub_per_fu=0.00 pbc="T T T"
Te 1.668 5.895 2.173
Te 5.895 6.787 2.173
Te 6.787 2.559 2.173
Te 2.559 1.668 2.173
Sn 3.146 7.373 0.000
Sn 7.373 5.309 0.000
Sn 5.309 1.082 0.000
Sn 1.082 3.146 0.000
La 0.000 0.000 0.000
La 4.227 4.227 0.000


Model Q:
5
Lattice="-0.205 6.000 -1.041 -3.322 0.763 5.051 2.047 3.932 4.428" Properties=species:S:1:pos:R:3 comment="LaSn2Te2 | the Alexandria database | PBE | relaxed" sg="No. 139" crystal_system=tetragonal magnetic_moment_mub_per_fu=0.00 pbc="T T T"
Te 0.039 6.657 2.696
Te -1.520 4.038 5.742
Sn -0.585 3.552 2.754
Sn -0.896 7.143 5.683
La 0.000 0.000 0.000


Going by the computed energies, the most stable comes first: model P, model Q.


Model P:
5
Lattice="6.135 0.000 0.000 0.000 6.135 0.000 3.068 3.068 4.826" Properties=species:S:1:pos:R:3 comment="La2SnTe2 | the Alexandria database | PBE | relaxed" sg="No. 139" crystal_system=tetragonal magnetic_moment_mub_per_fu=0.00 pbc="T T T"
Te 3.068 3.068 1.649
Te 6.135 6.135 3.177
Sn 0.000 0.000 0.000
La 6.135 3.068 2.413
La 3.068 6.135 2.413


Model Q:
10
Lattice="8.824 0.000 0.000 0.000 8.824 0.000 0.000 0.000 4.218" Properties=species:S:1:pos:R:3 comment="La2SnTe2 | the Alexandria database | PBE | relaxed" sg="No. 127" crystal_system=tetragonal magnetic_moment_mub_per_fu=0.00 pbc="T T T"
Te 1.257 5.669 2.109
Te 5.669 7.567 2.109
Te 7.567 3.155 2.109
Te 3.155 1.257 2.109
Sn 0.000 0.000 0.000
Sn 4.412 4.412 0.000
La 2.994 7.406 0.000
La 7.406 5.829 0.000
La 5.829 1.418 0.000
La 1.418 2.994 0.000


Going by the computed energies, the most stable comes first: model Q, model P.


Model P:
6
Lattice="4.683 0.000 0.000 0.000 4.683 0.000 0.000 0.000 9.070" Properties=species:S:1:pos:R:3 comment="LaThSn | the Alexandria database | PBE | relaxed" sg="No. 129" crystal_system=tetragonal magnetic_moment_mub_per_fu=0.57 pbc="T T T"
La 0.000 2.341 7.774
La 2.341 0.000 1.296
Th 2.341 2.341 4.535
Th 0.000 0.000 4.535
Sn 0.000 2.341 2.093
Sn 2.341 0.000 6.977


Model Q:
3
Lattice="-1.924 -3.129 0.123 -0.013 -0.204 -5.417 4.006 -2.355 2.791" Properties=species:S:1:pos:R:3 comment="LaThSn | the Alexandria database | PBE | relaxed" sg="No. 156" crystal_system=trigonal magnetic_moment_mub_per_fu=0.00 pbc="T T T"
Sn -0.033 -0.054 0.002
Th 2.135 -2.501 0.089
La -0.034 -3.133 -2.594


Model R:
6
Lattice="-4.603 1.696 -3.350 -5.113 -2.280 -1.988 -0.860 2.845 7.983" Properties=species:S:1:pos:R:3 comment="LaThSn | the Alexandria database | PBE | relaxed" sg="No. 12" crystal_system=monoclinic magnetic_moment_mub_per_fu=0.00 pbc="T T T"
La -6.831 1.266 1.138
La -3.745 0.996 1.507
Th -6.372 -0.176 -2.897
Th -4.204 2.438 5.542
Sn -10.351 1.559 0.677
Sn -0.226 0.703 1.967


Model S:
3
Lattice="4.239 0.000 0.000 0.000 4.239 0.000 -2.119 -2.119 5.128" Properties=species:S:1:pos:R:3 comment="LaThSn | the Alexandria database | PBE | relaxed" sg="No. 107" crystal_system=tetragonal magnetic_moment_mub_per_fu=0.00 pbc="T T T"
Sn 2.119 2.119 1.176
Th 2.119 2.119 4.787
La 0.000 0.000 2.755


Going by the computed energies, the most stable comes first: model P, model R, model S, model Q.


Model P:
4
Lattice="-0.073 0.716 -3.506 -0.553 -3.467 -0.696 -9.017 1.345 0.463" Properties=species:S:1:pos:R:3 comment="LaThSn2 | the Alexandria database | PBE | relaxed" sg="No. 123" crystal_system=tetragonal magnetic_moment_mub_per_fu=0.00 pbc="T T T"
Sn -6.791 1.013 0.349
Sn -2.225 0.332 0.114
Th -0.313 -1.376 -2.101
La -4.821 -0.703 -1.870


Model Q:
8
Lattice="4.534 0.000 0.000 0.000 6.371 0.000 0.000 0.000 8.588" Properties=species:S:1:pos:R:3 comment="LaThSn2 | the Alexandria database | PBE | relaxed" sg="No. 26" crystal_system=orthorhombic magnetic_moment_mub_per_fu=0.00 pbc="T T T"
La 0.000 0.773 5.863
La 0.000 5.598 1.569
Th 2.267 2.410 2.718
Th 2.267 3.961 7.012
Sn 0.000 3.771 4.663
Sn 0.000 2.600 0.369
Sn 2.267 5.741 3.932
Sn 2.267 0.630 8.226


Going by the computed energies, the most stable comes first: model Q, model P.


Model P:
5
Lattice="4.299 0.000 0.000 0.000 4.299 0.000 2.150 2.150 7.587" Properties=species:S:1:pos:R:3 comment="La2TiSn2 | the Alexandria database | PBE | relaxed" sg="No. 139" crystal_system=tetragonal magnetic_moment_mub_per_fu=0.03 pbc="T T T"
Ti 0.000 0.000 0.000
Sn 2.150 2.150 1.343
Sn 4.299 4.299 6.244
La 4.299 2.150 3.794
La 2.150 4.299 3.794


Model Q:
10
Lattice="7.785 0.000 0.000 0.000 7.785 0.000 0.000 0.000 4.819" Properties=species:S:1:pos:R:3 comment="La2TiSn2 | the Alexandria database | PBE | relaxed" sg="No. 127" crystal_system=tetragonal magnetic_moment_mub_per_fu=1.97 pbc="T T T"
Ti 0.000 0.000 0.000
Ti 3.892 3.892 0.000
Sn 2.852 6.744 0.000
Sn 6.744 4.933 0.000
Sn 4.933 1.041 0.000
Sn 1.041 2.852 0.000
La 1.359 5.252 2.410
La 5.252 6.425 2.410
La 6.425 2.533 2.410
La 2.533 1.359 2.410


Going by the computed energies, the most stable comes first: model Q, model P.


Model P:
5
Lattice="6.025 0.000 0.000 0.000 6.025 0.000 0.000 0.000 6.025" Properties=species:S:1:pos:R:3 comment="La3TlSn | the Alexandria database | PBE | relaxed" sg="No. 221" crystal_system=cubic magnetic_moment_mub_per_fu=0.00 pbc="T T T"
Tl 3.012 3.012 3.012
Sn 0.000 0.000 0.000
La 0.000 3.012 0.000
La 0.000 0.000 3.012
La 3.012 0.000 0.000


Model Q:
10
Lattice="0.645 2.858 -2.047 -7.366 -8.887 -2.243 -1.663 9.794 6.926" Properties=species:S:1:pos:R:3 comment="La3TlSn | the Alexandria database | PBE | relaxed" sg="No. 2" crystal_system=triclinic magnetic_moment_mub_per_fu=0.00 pbc="T T T"
La -3.903 2.837 2.747
La -1.358 -0.657 -1.333
La -7.551 -3.496 -1.003
La -4.482 0.927 -0.110
La -0.834 7.260 3.639
La -7.027 4.421 3.970
Tl -3.911 6.002 4.039
Tl -4.473 -2.237 -1.403
Sn -6.916 1.202 2.634
Sn -1.469 2.562 0.003


Going by the computed energies, the most stable comes first: model Q, model P.


Model P:
8
Lattice="4.800 0.000 0.000 0.000 4.824 0.000 0.000 0.000 9.861" Properties=species:S:1:pos:R:3 comment="La2Tl3Sn3 | the Alexandria database | PBE | relaxed" sg="No. 47" crystal_system=orthorhombic magnetic_moment_mub_per_fu=0.00 pbc="T T T"
La 0.000 0.000 2.555
La 0.000 0.000 7.307
Tl 0.000 2.412 0.000
Tl 2.400 0.000 4.931
Tl 2.400 0.000 0.000
Sn 2.400 2.412 2.519
Sn 2.400 2.412 7.343
Sn 0.000 2.412 4.931


Model Q:
8
Lattice="-1.297 1.332 -4.469 2.019 -3.961 -1.767 -8.532 -4.814 1.040" Properties=species:S:1:pos:R:3 comment="La2Tl3Sn3 | the Alexandria database | PBE | relaxed" sg="No. 47" crystal_system=orthorhombic magnetic_moment_mub_per_fu=0.00 pbc="T T T"
La -6.341 -3.577 0.773
La -2.191 -1.236 0.267
Tl -6.033 -4.922 -2.338
Tl -1.777 -2.521 -2.857
Tl -0.648 0.666 -2.234
Sn -4.914 -1.741 -1.714
Sn 1.010 -1.980 -0.883
Sn -3.257 -4.387 -0.363


Going by the computed energies, the most stable comes first: model P, model Q.


Model P:
6
Lattice="-1.351 -3.324 -0.830 -0.766 -0.577 3.556 -12.360 5.467 -1.776" Properties=species:S:1:pos:R:3 comment="La3Tl2Sn | the Alexandria database | PBE | relaxed" sg="No. 123" crystal_system=tetragonal magnetic_moment_mub_per_fu=0.00 pbc="T T T"
La 0.000 0.000 0.000
La -8.203 3.628 -1.179
La -4.157 1.839 -0.597
Tl -11.355 2.604 -0.117
Tl -3.122 -1.038 1.066
Sn -7.239 0.783 0.475


Model Q:
12
Lattice="-1.918 -3.940 0.398 4.733 -2.202 1.003 -2.096 2.596 15.598" Properties=species:S:1:pos:R:3 comment="La3Tl2Sn | the Alexandria database | PBE | relaxed" sg="No. 65" crystal_system=orthorhombic magnetic_moment_mub_per_fu=0.00 pbc="T T T"
La 0.019 -1.354 11.027
La -2.006 -0.670 7.998
La 0.698 -2.195 5.972
La -1.298 -1.548 2.726
La 1.406 -3.074 0.701
La -2.715 0.207 13.269
Tl -1.409 1.744 10.480
Tl -0.688 0.851 5.117
Tl 0.088 -4.595 3.581
Tl -1.287 -2.891 13.816
Sn -0.600 -3.743 8.698
Sn 0.000 -0.001 0.000


Going by the computed energies, the most stable comes first: model Q, model P.